DFT (PBE) results for a geometry-optimized Pm2YAl structure.

Output
DOS at the Fermi energy = 4.7 states/eV/f.u.
total magnetization = 0.72 μB/f.u.
E above lowest polymorph = 153 meV/atom
DFT formation energy = -0.035 eV/atom

Cell and atoms, written as POSCAR:
```
Pm2YAl
1.0
3.6702 0.0000 0.0000
1.8351 3.1785 0.0000
1.8351 1.0595 10.6253
Pm Y Al
2 1 1
Direct
0.0726 0.0726 0.7823
0.2608 0.2608 0.2175
0.5002 0.5002 0.4994
0.6664 0.6664 0.0008
```